Co2Pb (PBE-GGA, relaxed); formation energy = 10.409 kcal/mol of atoms; DFT total energy = -33.13 eV/cell
1.0
4.543 -1.605 0.000
4.543 1.605 0.000
-0.583 0.000 6.915
Co Pb
4 2
Direct
0.000 0.000 0.000
0.377 0.377 0.796
0.590 0.590 0.256
0.690 0.690 0.905
0.080 0.080 0.592
0.312 0.312 0.220